1.
Density functional theory data (PBE-GGA) for an optimized crystal structure of RbCd3Pt.

The structure in CIF format:
```
data_RbCd3Pt
_chemical_formula_sum 'Rb2 Cd6 Pt2'
_cell_length_a 5.8363
_cell_length_b 7.1785
_cell_length_c 7.5028
_cell_angle_alpha 88.96
_cell_angle_beta 77.05
_cell_angle_gamma 76.02
_space_group_name_H-M_alt 'P 1'
_space_group_IT_number 1
_space_group_name_Hall 'P 1'
loop_
_atom_site_label
_atom_site_fract_x
_atom_site_fract_y
_atom_site_fract_z
Rb1 0.0000 0.0000 0.0000
Rb2 0.0104 0.3684 0.6560
Cd1 0.0288 0.5218 0.1890
Cd2 0.1097 0.8329 0.4549
Cd3 0.4173 0.1048 0.2408
Cd4 0.4389 0.6202 0.7098
Cd5 0.5340 0.5767 0.1538
Cd6 0.5854 0.0492 0.6775
Pt1 0.4246 0.3271 0.9425
Pt2 0.6458 0.7905 0.4053
```

## Properties
Excess energy over the best structure of this formula in the dataset, meV/atom: 91
Energy of formation from the pure elements, eV/atom: -0.1590

***

2.
Density functional theory data (PBE-GGA) for an optimized crystal structure of Tc5Au.

The structure in CIF format:
```
data_Tc5Au
_chemical_formula_sum 'Tc10 Au2'
_cell_length_a 4.4325
_cell_length_b 2.7906
_cell_length_c 14.5488
_cell_angle_alpha 90.00
_cell_angle_beta 90.00
_cell_angle_gamma 90.00
_space_group_name_H-M_alt 'A m m 2'
_space_group_IT_number 38
_space_group_name_Hall 'A 2 -2'
loop_
_atom_site_label
_atom_site_fract_x
_atom_site_fract_y
_atom_site_fract_z
Tc1 0.0000 0.0000 0.0000
Tc2 0.0000 0.0000 0.3218
Tc3 0.0000 0.0000 0.6596
Tc4 0.5000 0.0000 0.2147
Tc5 0.5000 0.0000 0.5557
Au1 0.5000 0.0000 0.8844
```

## Properties
Excess energy over the best structure of this formula in the dataset, meV/atom: 0
Energy of formation from the pure elements, eV/atom: 0.1009

***

3.
Density functional theory data (PBE-GGA) for an optimized crystal structure of NiBr.

The structure in CIF format:
```
data_NiBr
_chemical_formula_sum 'Ni6 Br6'
_cell_length_a 3.7988
_cell_length_b 11.6657
_cell_length_c 5.7597
_cell_angle_alpha 90.00
_cell_angle_beta 90.00
_cell_angle_gamma 90.00
_space_group_name_H-M_alt 'P m m n'
_space_group_IT_number 59
loop_
_space_group_symop_operation_xyz
'x,y,z'
'-x,-y,-z'
'-x+1/2,-y+1/2,z'
'x+1/2,y+1/2,-z'
'x+1/2,-y,-z'
'-x+1/2,y,z'
'-x,y+1/2,-z'
'x,-y+1/2,z'
loop_
_atom_site_label
_atom_site_fract_x
_atom_site_fract_y
_atom_site_fract_z
Ni1 0.2500 0.0672 0.0268
Ni2 0.2500 0.7500 0.4559
Br1 0.2500 0.2500 0.7942
Br2 0.2500 0.5875 0.7176
```

***

Number 1: total energy -2.110 eV per atom, DOS at the Fermi energy 1.82 states/eV/f.u.. Number 2: total energy -9.084 eV per atom, DOS at the Fermi energy 7.25 states/eV/f.u.. Number 3: total energy -3.656 eV per atom, DOS at the Fermi energy 2.35 states/eV/f.u..